A plane-wave DFT calculation with GGA-PBE was carried out for a relaxed structure of KCuI2Cl6.

Unit cell a=7.369 b=7.484 c=7.628 alpha=111.76 beta=97.50 gamma=104.83
Atoms (fractional coordinates):
K1 0.000 0.000 0.000
Cu1 0.499 0.001 0.501
I1 0.155 0.345 0.722
I2 0.842 0.655 0.279
Cl1 0.083 0.477 0.259
Cl2 0.372 0.148 0.345
Cl3 0.388 0.143 0.766
Cl4 0.610 0.859 0.236
Cl5 0.626 0.853 0.658
Cl6 0.914 0.523 0.740

spin magnetization = 0.000 μB/f.u.
D(E_F) = 0.040 states/eV per atom
ΔE_f (raw) = -0.58 eV per atom


A plane-wave DFT calculation with GGA-PBE was carried out for a relaxed structure of K3Cu2I4Cl2.

Unit cell a=14.131 b=14.131 c=14.131 alpha=158.12 beta=158.12 gamma=31.14
Atoms (fractional coordinates):
K1 0.000 0.000 0.000
K2 0.186 0.186 0.000
K3 0.814 0.814 0.000
Cu1 0.385 0.385 0.000
Cu2 0.615 0.615 0.000
I1 0.090 0.590 0.500
I2 0.410 0.910 0.500
I3 0.590 0.090 0.500
I4 0.910 0.410 0.500
Cl1 0.299 0.299 0.000
Cl2 0.701 0.701 0.000

spin magnetization = 0.000 μB/f.u.
D(E_F) = 0.243 states/eV per atom
ΔE_f (raw) = -0.96 eV per atom


A plane-wave DFT calculation with GGA-PBE was carried out for a relaxed structure of KCuICl2.

Unit cell a=5.526 b=5.526 c=7.110 alpha=90.00 beta=90.00 gamma=90.00
Atoms (fractional coordinates):
K1 0.000 0.000 0.000
Cu1 0.000 0.000 0.500
I1 0.500 0.500 0.500
Cl1 0.000 0.500 0.000
Cl2 0.500 0.000 0.000

spin magnetization = 1.000 μB/f.u.
D(E_F) = 1.726 states/eV per atom
ΔE to the lowest computed polymorph = 5.17 eV per formula unit
ΔE_f (raw) = 0.16 eV per atom